[1]
Co2AgMo: relaxed, PBE.

Cell lengths 3.3573, 2.7901, 6.4602 Å; angles 64.47, 90.00, 90.00 degrees
Last column: nearest neighbours and their distance in Å.
Fractional positions:
Mo 0.5000 0.2500 0.2500  8 Co 2.54, 2 Mo 2.79
Co 0.0000 0.5279 0.4720  4 Mo 2.54, 3 Co 2.59-2.79, 4 Ag 2.72
Ag 0.5000 0.7500 0.7500  8 Co 2.72, 2 Ag 2.79, 2 Mo 2.91
Co 0.0000 0.9721 0.0280  4 Mo 2.54, 3 Co 2.59-2.79, 4 Ag 2.72

Results
* total magnetization: 0.4 μB/cell
* VASP energy: -6.68 eV per atom
* E_form: 0.2975 eV per atom

***

[2]
TmSc6Ga3: relaxed, PBE.

Cell lengths 7.8354, 7.7433, 7.7433 Å; angles 101.97, 90.00, 90.00 degrees
Last column: nearest neighbours and their distance in Å.
Fractional positions:
Ga 0.8666 0.5664 0.4336  7 Sc 2.71-3.00, 1 Tm 2.90
Sc 0.6690 0.5897 0.7429  4 Ga 2.71-2.87
Ga 0.4723 0.8741 0.7247  5 Sc 2.68-2.90
Sc 0.6690 0.2571 0.4103  4 Ga 2.71-2.87
Ga 0.3666 0.4336 0.5664  7 Sc 2.71-3.00, 1 Tm 2.90
Sc 0.1690 0.7429 0.5897  4 Ga 2.71-2.87
Sc 0.3076 0.0538 0.3934  2 Ga 2.87-3.00
Ga 0.9723 0.1259 0.2753  5 Sc 2.68-2.90
Sc 0.3076 0.6066 0.9462  2 Ga 2.87-3.00
Sc 0.1690 0.4103 0.2571  4 Ga 2.71-2.87
Ga 0.4723 0.2753 0.1259  5 Sc 2.68-2.90
Sc 0.4988 0.2259 0.7741  3 Ga 2.68-2.71
Ga 0.9723 0.7247 0.8741  5 Sc 2.68-2.90
Sc 0.6867 0.9649 0.0351  4 Ga 2.90-3.01
Sc 0.8076 0.3934 0.0538  2 Ga 2.87-3.00
Sc 0.9988 0.7741 0.2259  3 Ga 2.68-2.71
Sc 0.8076 0.9462 0.6066  2 Ga 2.87-3.00
Tm 0.0354 0.3254 0.6746  4 Ga 2.90-3.20
Tm 0.5354 0.6746 0.3254  4 Ga 2.90-3.20
Sc 0.1867 0.0351 0.9649  4 Ga 2.90-3.01

Results
* total magnetization: 0.0 μB/cell
* VASP energy: -5.48 eV per atom
* E_form: -0.3300 eV per atom

***

[3]
KCrS3: relaxed, PBE.

Cell lengths 4.6078, 4.6078, 4.6078 Å; angles 90.00, 90.00, 90.00 degrees
Last column: nearest neighbours and their distance in Å.
Fractional positions:
S 0.0000 0.5000 0.0000  2 Cr 2.30
S 0.0000 0.0000 0.5000  2 Cr 2.30
Cr 0.0000 0.0000 0.0000  6 S 2.30
S 0.5000 0.0000 0.0000  2 Cr 2.30
K 0.5000 0.5000 0.5000  12 S 3.26

Results
* total magnetization: 0.0 μB/cell
* raw formation energy: -370 meV per atom
* VASP energy: -4.99 eV per atom